## A
Density functional theory data (meta-GGA SCAN) for a crystal of ZnCuPt relaxed with PBEsol.

a = 4.104 Å, b = 4.104 Å, c = 2.718 Å
α = 90.00°, β = 90.00°, γ = 120.00°
Fractional positions:
Zn 0.000 0.000 0.000
Cu 0.333 0.667 0.054
Pt 0.667 0.333 0.530

Properties
DOS at the Fermi energy (states/eV/cell): 0.65


## B
Density functional theory data (meta-GGA SCAN) for a crystal of ZnCuPt relaxed with PBEsol.

a = 4.586 Å, b = 4.586 Å, c = 4.586 Å
α = 145.00°, β = 133.43°, γ = 59.56°
Fractional positions:
Zn 0.000 0.000 0.000
Cu 0.664 0.664 0.000
Pt 0.332 0.332 0.000

Properties
DOS at the Fermi energy (states/eV/cell): 0.87


Pick B: it beats the second-best structure by 2.2 kJ/mol of atoms.


## A
Density functional theory data (meta-GGA SCAN) for a crystal of ZrCuPt relaxed with PBEsol.

a = 4.313 Å, b = 4.313 Å, c = 4.313 Å
α = 60.00°, β = 60.00°, γ = 60.00°
Fractional positions:
Zr 0.000 0.000 0.000
Cu 0.500 0.500 0.500
Pt 0.250 0.250 0.250

Properties
DOS at the Fermi energy (states/eV/cell): 2.07


## B
Density functional theory data (meta-GGA SCAN) for a crystal of ZrCuPt relaxed with PBEsol.

a = 4.797 Å, b = 4.797 Å, c = 4.797 Å
α = 138.31°, β = 138.31°, γ = 60.44°
Fractional positions:
Zr 0.000 0.000 0.000
Cu 0.328 0.328 0.000
Pt 0.662 0.662 0.000

Properties
DOS at the Fermi energy (states/eV/cell): 1.08


Pick B: it beats the second-best structure by 26.5 kJ/mol of atoms.


## A
Density functional theory data (meta-GGA SCAN) for a crystal of CuRe relaxed with PBEsol.

a = 2.604 Å, b = 2.604 Å, c = 8.385 Å
α = 90.00°, β = 90.00°, γ = 109.48°
Fractional positions:
Cu 0.250 0.750 0.885
Cu 0.750 0.250 0.115
Re 0.250 0.750 0.370
Re 0.750 0.250 0.630

Properties
DOS at the Fermi energy (states/eV/cell): 2.04


## B
Density functional theory data (meta-GGA SCAN) for a crystal of CuRe relaxed with PBEsol.

a = 2.614 Å, b = 4.311 Å, c = 4.711 Å
α = 90.00°, β = 90.00°, γ = 90.00°
Fractional positions:
Cu 0.250 0.250 0.074
Cu 0.750 0.750 0.926
Re 0.250 0.750 0.412
Re 0.750 0.250 0.588

Properties
DOS at the Fermi energy (states/eV/cell): 2.32


## C
Density functional theory data (meta-GGA SCAN) for a crystal of CuRe relaxed with PBEsol.

a = 4.626 Å, b = 4.626 Å, c = 4.626 Å
α = 136.69°, β = 129.07°, γ = 69.03°
Fractional positions:
Cu 0.386 0.136 0.250
Cu 0.614 0.864 0.750
Re 0.128 0.378 0.750
Re 0.872 0.622 0.250

Properties
DOS at the Fermi energy (states/eV/cell): 1.25


Pick C: it beats the second-best structure by 1.9 kJ/mol of atoms.


## A
Density functional theory data (meta-GGA SCAN) for a crystal of CuRe2Rh relaxed with PBEsol.

a = 4.271 Å, b = 4.271 Å, c = 4.271 Å
α = 60.00°, β = 60.00°, γ = 60.00°
Fractional positions:
Cu 0.000 0.000 0.000
Re 0.500 0.500 0.500
Re 0.750 0.750 0.750
Rh 0.250 0.250 0.250

Properties
DOS at the Fermi energy (states/eV/cell): 1.89


## B
Density functional theory data (meta-GGA SCAN) for a crystal of CuRe2Rh relaxed with PBEsol.

a = 2.650 Å, b = 2.650 Å, c = 7.711 Å
α = 90.00°, β = 90.00°, γ = 90.00°
Fractional positions:
Cu 0.000 0.000 0.000
Re 0.500 0.500 0.246
Re 0.500 0.500 0.754
Rh 0.000 0.000 0.500

Properties
DOS at the Fermi energy (states/eV/cell): 2.34


Pick B: it beats the second-best structure by 1.7 kJ/mol of atoms.


## A
Density functional theory data (meta-GGA SCAN) for a crystal of SrCuRe2 relaxed with PBEsol.

a = 3.776 Å, b = 3.776 Å, c = 4.926 Å
α = 90.00°, β = 90.00°, γ = 90.00°
Fractional positions:
Sr 0.000 0.000 0.000
Cu 0.500 0.500 0.000
Re 0.000 0.500 0.500
Re 0.500 0.000 0.500

Properties
DOS at the Fermi energy (states/eV/cell): 1.74


## B
Density functional theory data (meta-GGA SCAN) for a crystal of SrCuRe2 relaxed with PBEsol.

a = 3.123 Å, b = 3.123 Å, c = 7.464 Å
α = 90.00°, β = 90.00°, γ = 90.00°
Fractional positions:
Sr 0.000 0.000 0.000
Cu 0.500 0.500 0.305
Re 0.000 0.000 0.502
Re 0.500 0.500 0.675

Properties
DOS at the Fermi energy (states/eV/cell): 2.91


Pick B: it beats the second-best structure by 60.2 kJ/mol of atoms.


## A
Density functional theory data (meta-GGA SCAN) for a crystal of SrCu2Re relaxed with PBEsol.

a = 4.708 Å, b = 4.708 Å, c = 4.708 Å
α = 125.40°, β = 114.40°, γ = 90.44°
Fractional positions:
Sr 0.000 0.000 0.000
Cu 0.300 0.800 0.500
Cu 0.700 0.200 0.500
Re 0.500 0.500 0.000

Properties
DOS at the Fermi energy (states/eV/cell): 2.35


## B
Density functional theory data (meta-GGA SCAN) for a crystal of SrCu2Re relaxed with PBEsol.

a = 3.169 Å, b = 3.169 Å, c = 6.857 Å
α = 90.00°, β = 90.00°, γ = 90.00°
Fractional positions:
Sr 0.000 0.000 0.000
Cu 0.500 0.500 0.318
Cu 0.500 0.500 0.682
Re 0.000 0.000 0.500

Properties
DOS at the Fermi energy (states/eV/cell): 2.96


Pick B: it beats the second-best structure by 24.9 kJ/mol of atoms.


## A
Density functional theory data (meta-GGA SCAN) for a crystal of CuRe2Tc relaxed with PBEsol.

a = 4.640 Å, b = 4.640 Å, c = 2.721 Å
α = 90.00°, β = 90.00°, γ = 110.20°
Fractional positions:
Cu 0.000 0.000 0.000
Re 0.000 0.500 0.500
Re 0.500 0.000 0.500
Tc 0.500 0.500 0.000

Properties
DOS at the Fermi energy (states/eV/cell): 3.53


## B
Density functional theory data (meta-GGA SCAN) for a crystal of CuRe2Tc relaxed with PBEsol.

a = 3.098 Å, b = 3.098 Å, c = 5.704 Å
α = 90.00°, β = 90.00°, γ = 90.00°
Fractional positions:
Cu 0.000 0.000 0.000
Re 0.500 0.500 0.227
Re 0.500 0.500 0.773
Tc 0.000 0.000 0.500

Properties
DOS at the Fermi energy (states/eV/cell): 3.67


Pick A: it beats the second-best structure by 7.0 kJ/mol of atoms.


## A
Density functional theory data (meta-GGA SCAN) for a crystal of Tl2CuRe relaxed with PBEsol.

a = 4.612 Å, b = 4.612 Å, c = 3.325 Å
α = 90.00°, β = 90.00°, γ = 90.00°
Fractional positions:
Tl 0.000 0.500 0.000
Tl 0.500 0.000 0.000
Cu 0.000 0.000 0.500
Re 0.500 0.500 0.500

Properties
DOS at the Fermi energy (states/eV/cell): 2.19


## B
Density functional theory data (meta-GGA SCAN) for a crystal of Tl2CuRe relaxed with PBEsol.

a = 2.894 Å, b = 2.894 Å, c = 9.348 Å
α = 90.00°, β = 90.00°, γ = 90.00°
Fractional positions:
Tl 0.000 0.000 0.000
Tl 0.500 0.500 0.341
Cu 0.500 0.500 0.759
Re 0.000 0.000 0.593

Properties
DOS at the Fermi energy (states/eV/cell): 2.77


Pick B: it beats the second-best structure by 25.0 kJ/mol of atoms.


## A
Density functional theory data (meta-GGA SCAN) for a crystal of ZnCu2Re relaxed with PBEsol.

a = 2.584 Å, b = 2.584 Å, c = 7.593 Å
α = 90.00°, β = 90.00°, γ = 90.20°
Fractional positions:
Zn 0.000 0.000 0.000
Cu 0.500 0.500 0.242
Cu 0.500 0.500 0.758
Re 0.000 0.000 0.500

Properties
DOS at the Fermi energy (states/eV/cell): 1.70


## B
Density functional theory data (meta-GGA SCAN) for a crystal of ZnCu2Re relaxed with PBEsol.

a = 4.418 Å, b = 4.418 Å, c = 2.621 Å
α = 90.00°, β = 90.00°, γ = 90.00°
Fractional positions:
Zn 0.000 0.000 0.000
Cu 0.000 0.500 0.500
Cu 0.500 0.000 0.500
Re 0.500 0.500 0.000

Properties
DOS at the Fermi energy (states/eV/cell): 1.73


## C
Density functional theory data (meta-GGA SCAN) for a crystal of ZnCu2Re relaxed with PBEsol.

a = 2.595 Å, b = 3.551 Å, c = 5.483 Å
α = 90.00°, β = 90.00°, γ = 90.00°
Fractional positions:
Zn 0.000 0.000 0.000
Cu 0.000 0.000 0.470
Cu 0.500 0.500 0.234
Re 0.500 0.500 0.724

Properties
DOS at the Fermi energy (states/eV/cell): 2.35


Pick A: it beats the second-best structure by 13.2 kJ/mol of atoms.


## A
Density functional theory data (meta-GGA SCAN) for a crystal of Zn2CuRe relaxed with PBEsol.

a = 4.741 Å, b = 4.741 Å, c = 4.741 Å
α = 134.80°, β = 134.80°, γ = 65.85°
Fractional positions:
Zn 0.000 0.000 0.000
Zn 0.750 0.250 0.500
Cu 0.500 0.500 0.000
Re 0.250 0.750 0.500

Properties
DOS at the Fermi energy (states/eV/cell): 1.59


## B
Density functional theory data (meta-GGA SCAN) for a crystal of Zn2CuRe relaxed with PBEsol.

a = 2.613 Å, b = 2.613 Å, c = 7.765 Å
α = 90.00°, β = 90.00°, γ = 90.00°
Fractional positions:
Zn 0.000 0.000 0.000
Zn 0.500 0.500 0.257
Cu 0.000 0.000 0.490
Re 0.500 0.500 0.739

Properties
DOS at the Fermi energy (states/eV/cell): 1.49


Pick B: it beats the second-best structure by 19.1 kJ/mol of atoms.


## A
Density functional theory data (meta-GGA SCAN) for a crystal of Cu2RuRh relaxed with PBEsol.

a = 2.581 Å, b = 2.581 Å, c = 8.695 Å
α = 90.00°, β = 90.00°, γ = 118.10°
Fractional positions:
Cu 0.000 0.000 0.000
Cu 0.500 0.500 0.235
Ru 0.000 0.000 0.489
Rh 0.500 0.500 0.747

Properties
DOS at the Fermi energy (states/eV/cell): 3.99


## B
Density functional theory data (meta-GGA SCAN) for a crystal of Cu2RuRh relaxed with PBEsol.

a = 4.489 Å, b = 4.489 Å, c = 4.553 Å
α = 99.38°, β = 99.38°, γ = 33.78°
Fractional positions:
Cu 0.249 0.249 0.249
Cu 0.751 0.751 0.751
Ru 0.500 0.500 0.000
Rh 0.000 0.000 0.500

Properties
DOS at the Fermi energy (states/eV/cell): 3.91


## C
Density functional theory data (meta-GGA SCAN) for a crystal of Cu2RuRh relaxed with PBEsol.

a = 2.664 Å, b = 2.664 Å, c = 7.032 Å
α = 90.00°, β = 90.00°, γ = 90.00°
Fractional positions:
Cu 0.000 0.000 0.000
Cu 0.500 0.500 0.229
Ru 0.500 0.500 0.741
Rh 0.000 0.000 0.490

Properties
DOS at the Fermi energy (states/eV/cell): 2.36


Pick C: it beats the second-best structure by 10.3 kJ/mol of atoms.


## A
Density functional theory data (meta-GGA SCAN) for a crystal of SrCuRh2 relaxed with PBEsol.

a = 4.774 Å, b = 4.774 Å, c = 4.774 Å
α = 127.06°, β = 127.06°, γ = 78.16°
Fractional positions:
Sr 0.000 0.000 0.000
Cu 0.750 0.250 0.500
Rh 0.250 0.750 0.500
Rh 0.500 0.500 0.000

Properties
DOS at the Fermi energy (states/eV/cell): 3.37


## B
Density functional theory data (meta-GGA SCAN) for a crystal of SrCuRh2 relaxed with PBEsol.

a = 3.209 Å, b = 3.209 Å, c = 6.842 Å
α = 90.00°, β = 90.00°, γ = 90.00°
Fractional positions:
Sr 0.000 0.000 0.000
Cu 0.500 0.500 0.318
Rh 0.000 0.000 0.492
Rh 0.500 0.500 0.686

Properties
DOS at the Fermi energy (states/eV/cell): 4.08


Pick B: it beats the second-best structure by 10.7 kJ/mol of atoms.


## A
Density functional theory data (meta-GGA SCAN) for a crystal of SrCu2Rh relaxed with PBEsol.

a = 5.653 Å, b = 5.653 Å, c = 5.653 Å
α = 43.95°, β = 43.95°, γ = 43.95°
Fractional positions:
Sr 0.000 0.000 0.000
Cu 0.503 0.503 0.503
Cu 0.813 0.813 0.813
Rh 0.189 0.189 0.189

Properties
DOS at the Fermi energy (states/eV/cell): 2.04


## B
Density functional theory data (meta-GGA SCAN) for a crystal of SrCu2Rh relaxed with PBEsol.

a = 3.166 Å, b = 3.166 Å, c = 6.765 Å
α = 90.00°, β = 90.00°, γ = 90.00°
Fractional positions:
Sr 0.000 0.000 0.000
Cu 0.000 0.000 0.500
Cu 0.500 0.500 0.335
Rh 0.500 0.500 0.700

Properties
DOS at the Fermi energy (states/eV/cell): 2.17


Pick A: it beats the second-best structure by 30.6 kJ/mol of atoms.